CaCd2Se | PBE | relaxed Values from VASP.

Cell and atoms, written as Quantum ESPRESSO input:
```
&SYSTEM
  ibrav = 0, nat = 8, ntyp = 3
/
ATOMIC_SPECIES
Se 78.96 Se.upf
Cd 112.41 Cd.upf
Ca 40.08 Ca.upf
ATOMIC_POSITIONS angstrom
Se 8.742 4.371 1.415
Se 0.000 0.000 0.000
Cd 1.833 6.556 0.707
Cd 6.556 6.204 2.122
Cd 10.927 11.280 2.122
Ca 4.371 4.371 0.000
Ca 4.371 8.742 1.415
Cd 6.909 2.185 0.707
CELL_PARAMETERS angstrom
8.742 0.000 0.000
0.000 8.742 0.000
4.371 4.371 2.830
```

Output
DOS at the Fermi energy: 0.056 states/eV per cell
ΔE_f (raw): -0.6126 eV per atom
M_tot: 0.00 Bohr magnetons per cell
Density: 5.28 g/cm³